No. 1
Density functional theory data (GGA-PBE) for a geometry-optimized TlFePbSe3 structure.

Lattice parameters (Å, degrees): 8.8229 4.0800 10.4367 90.00 105.82 90.00
Last column: nearest neighbours and their distance in Å.
Positions (direct):
Se 0.7061 0.2500 0.0410  3 Fe 2.41-2.46
Se 0.0615 0.7500 0.3439  3 Pb 2.92-2.97, 2 Tl 3.13
Se 0.9385 0.2500 0.6561  3 Pb 2.92-2.97, 2 Tl 3.13
Se 0.4490 0.2500 0.7015  1 Fe 2.33
Se 0.5510 0.7500 0.2985  1 Fe 2.33
Se 0.2939 0.7500 0.9590  3 Fe 2.41-2.46
Tl 0.7466 0.7500 0.7775  4 Se 3.13-3.25
Tl 0.2534 0.2500 0.2225  4 Se 3.13-3.25
Pb 0.1750 0.7500 0.6338  5 Se 2.92-3.09
Pb 0.8250 0.2500 0.3662  5 Se 2.92-3.09
Fe 0.5688 0.7500 0.0803  4 Se 2.33-2.46
Fe 0.4312 0.2500 0.9197  4 Se 2.33-2.46

Calculated values
- SG = No. 11

---

No. 2
Density functional theory data (GGA-PBE) for a geometry-optimized FeSi2Pb structure.

Lattice parameters (Å, degrees): 4.5537 4.5537 4.5537 60.00 60.00 60.00
Last column: nearest neighbours and their distance in Å.
Positions (direct):
Pb 0.5000 0.5000 0.5000  4 Si 2.79, 4 Fe 2.79
Si 0.7500 0.7500 0.7500  4 Pb 2.79, 4 Si 2.79
Si 0.0000 0.0000 0.0000  4 Fe 2.79, 4 Si 2.79
Fe 0.2500 0.2500 0.2500  4 Si 2.79, 4 Pb 2.79

Calculated values
- SG = No. 216

---

No. 3
Density functional theory data (GGA-PBE) for a geometry-optimized FeSnPb structure.

Lattice parameters (Å, degrees): 4.6451 4.6451 4.6451 60.00 60.00 60.00
Last column: nearest neighbours and their distance in Å.
Positions (direct):
Pb 0.2500 0.2500 0.2500  4 Fe 2.84
Sn 0.7500 0.7500 0.7500  4 Fe 2.84
Fe 0.0000 0.0000 0.0000  4 Pb 2.84, 4 Sn 2.84

Calculated values
- SG = No. 216

---

No. 4
Density functional theory data (GGA-PBE) for a geometry-optimized FeSnPb2 structure.

Lattice parameters (Å, degrees): 5.1252 5.1252 5.1252 60.00 60.00 60.00
Last column: nearest neighbours and their distance in Å.
Positions (direct):
Pb 0.0000 0.0000 0.0000  4 Fe 3.14, 4 Pb 3.14
Pb 0.7500 0.7500 0.7500  4 Sn 3.14, 4 Pb 3.14
Sn 0.5000 0.5000 0.5000  4 Fe 3.14, 4 Pb 3.14
Fe 0.2500 0.2500 0.2500  4 Sn 3.14, 4 Pb 3.14

Calculated values
- SG = No. 216

---

No. 5
Density functional theory data (GGA-PBE) for a geometry-optimized Ta2Fe3Pb2 structure.

Lattice parameters (Å, degrees): 7.4450 7.4450 7.4450 33.94 33.94 33.94
Last column: nearest neighbours and their distance in Å.
Positions (direct):
Fe 0.3716 0.3716 0.3716  4 Pb 2.60-2.61, 4 Ta 2.61-2.69
Fe 0.6250 0.6250 0.6250  4 Ta 2.66-2.68, 4 Pb 2.70-2.72
Fe 0.8774 0.8774 0.8774  4 Ta 2.63-2.65, 4 Pb 2.71
Pb 0.0062 0.0062 0.0062  7 Fe 2.60-2.71
Pb 0.4957 0.4957 0.4957  5 Fe 2.61-2.72
Ta 0.2475 0.2475 0.2475  7 Fe 2.61-2.68
Ta 0.7516 0.7516 0.7516  5 Fe 2.65-2.69

Calculated values
- SG = No. 160

---

No. 6
Density functional theory data (GGA-PBE) for a geometry-optimized TaFePb2 structure.

Lattice parameters (Å, degrees): 4.8920 4.8920 4.8920 60.00 60.00 60.00
Last column: nearest neighbours and their distance in Å.
Positions (direct):
Ta 0.5000 0.5000 0.5000  4 Fe 3.00, 4 Pb 3.00
Fe 0.2500 0.2500 0.2500  4 Ta 3.00, 4 Pb 3.00
Pb 0.7500 0.7500 0.7500  4 Pb 3.00, 4 Ta 3.00
Pb 0.0000 0.0000 0.0000  4 Pb 3.00, 4 Fe 3.00

Calculated values
- SG = No. 216

---

No. 7
Density functional theory data (GGA-PBE) for a geometry-optimized TaFeTcPb structure.

Lattice parameters (Å, degrees): 4.6034 4.6034 4.6034 60.00 60.00 60.00
Last column: nearest neighbours and their distance in Å.
Positions (direct):
Ta 0.2500 0.2500 0.2500  4 Pb 2.82, 4 Tc 2.82
Pb 0.0000 0.0000 0.0000  4 Ta 2.82, 4 Fe 2.82
Fe 0.7500 0.7500 0.7500  4 Tc 2.82, 4 Pb 2.82
Tc 0.5000 0.5000 0.5000  4 Fe 2.82, 4 Ta 2.82

Calculated values
- SG = No. 216
- offset from the most stable computed form (eV/atom) = 0.3579

---

No. 8
Density functional theory data (GGA-PBE) for a geometry-optimized TaFeTcPb structure.

Lattice parameters (Å, degrees): 4.5060 4.5060 4.5060 60.00 60.00 60.00
Last column: nearest neighbours and their distance in Å.
Positions (direct):
Fe 0.7500 0.7500 0.7500  4 Ta 2.76, 4 Pb 2.76
Pb 0.0000 0.0000 0.0000  4 Tc 2.76, 4 Fe 2.76
Tc 0.2500 0.2500 0.2500  4 Pb 2.76, 4 Ta 2.76
Ta 0.5000 0.5000 0.5000  4 Fe 2.76, 4 Tc 2.76

Calculated values
- SG = No. 216
- offset from the most stable computed form (eV/atom) = 0.0000

---

Number 1: final energy -26.6 eV/f.u., total magnetic moment 3.42 μB per formula unit. Number 2: final energy -19.6 eV/f.u., total magnetic moment 1.87 μB per formula unit. Number 3: final energy -15.0 eV/f.u., total magnetic moment 2.29 μB per formula unit. Number 4: final energy -17.5 eV/f.u., total magnetic moment 2.67 μB per formula unit. Number 5: final energy -54.2 eV/f.u., total magnetic moment 0.00 μB per formula unit. Number 6: final energy -23.9 eV/f.u., total magnetic moment 1.06 μB per formula unit. Number 7: final energy -31.8 eV/f.u., total magnetic moment 3.70 μB per formula unit. Number 8: final energy -33.3 eV/f.u., total magnetic moment 0.00 μB per formula unit.